! Cs3Tl6Cd2 (PBE, optimized geometry); values from VASP
&SYSTEM
  ibrav = 0, nat = 11, ntyp = 3
/
ATOMIC_SPECIES
Cs 132.91 Cs.upf
Tl 204.38 Tl.upf
Cd 112.41 Cd.upf
CELL_PARAMETERS angstrom
-2.5709 2.5709 16.4891
2.5709 -2.5709 16.4891
2.5709 2.5709 -16.4891
ATOMIC_POSITIONS angstrom
Cs 0.0000 0.0000 0.0000
Cs 0.0000 0.0000 6.6741
Cs 0.0000 0.0000 26.3041
Tl 2.5709 0.0000 3.3407
Tl 0.0000 0.0000 11.1007
Tl 2.5709 0.0000 13.1484
Tl 0.0000 2.5709 3.3407
Tl 0.0000 0.0000 21.8774
Tl 0.0000 2.5709 13.1484
Cd 0.0000 0.0000 14.9821
Cd 0.0000 0.0000 17.9961
! crystal system	tetragonal
! uncorrected energy	-1.756	eV per atom
! DFT formation energy	-0.7	eV/f.u.
! spin magnetization	0.00	μB per cell



! Ti2VB (PBE, optimized geometry); values from VASP
&SYSTEM
  ibrav = 0, nat = 16, ntyp = 3
/
ATOMIC_SPECIES
Ti 47.87 Ti.upf
V 50.94 V.upf
B 10.81 B.upf
CELL_PARAMETERS angstrom
6.9154 0.0000 0.0000
0.0000 6.9154 0.0000
0.0000 0.0000 4.5499
ATOMIC_POSITIONS angstrom
Ti 1.3151 5.1866 0.5687
Ti 1.7289 1.3151 3.9812
Ti 1.7289 2.1426 1.7062
Ti 2.1426 5.1866 2.8437
Ti 4.7729 1.7289 2.8437
Ti 5.1866 4.7729 1.7062
Ti 5.1866 5.6003 3.9812
Ti 5.6003 1.7289 0.5687
V 0.0000 0.0000 2.2750
V 0.0000 3.4577 3.4124
V 3.4577 0.0000 1.1375
V 3.4577 3.4577 0.0000
B 0.0000 0.0000 0.0000
B 0.0000 3.4577 1.1375
B 3.4577 0.0000 3.4124
B 3.4577 3.4577 2.2750
! crystal system	tetragonal
! uncorrected energy	-7.691	eV per atom
! DFT formation energy	0.8	eV/f.u.
! spin magnetization	0.00	μB per cell



! KSmMg2Cl8 (PBE, optimized geometry); values from VASP
&SYSTEM
  ibrav = 0, nat = 12, ntyp = 4
/
ATOMIC_SPECIES
K 39.10 K.upf
Sm 150.36 Sm.upf
Mg 24.30 Mg.upf
Cl 35.45 Cl.upf
CELL_PARAMETERS angstrom
6.4954 0.0000 0.0000
1.1134 6.4009 0.0000
1.5349 1.2352 8.6872
ATOMIC_POSITIONS angstrom
K 0.0000 0.0000 0.0000
Sm 0.7674 0.6176 4.3436
Mg 3.7877 3.1945 1.8192
Mg 5.3560 4.4416 6.8680
Cl 3.3626 5.8010 6.2895
Cl 2.9518 5.4685 2.3566
Cl 2.7375 2.4002 3.9127
Cl 2.4772 2.1906 0.0689
Cl 6.6664 5.4455 8.6182
Cl 6.4061 5.2359 4.7745
Cl 6.1918 2.1676 6.3305
Cl 5.7810 1.8351 2.3976
! crystal system	triclinic
! uncorrected energy	-3.949	eV per atom
! raw formation energy	-190	kJ/mol of atoms
! spin magnetization	0.00	μB per cell